[1]
# Cu2TeAsSe2

A relaxed Cu2TeAsSe2 crystal (PBE, Alexandria via LeMat-Bulk).

Properties
Calculated volume ... 24.7 Å³/atom
Magnetic moment ... 0.00 μB per formula unit
Space-group type ... Cmc2_1, No. 36
Energy relative to the elements, uncorrected ... -0.072 eV per atom

The structure in POSCAR format:
```
Cu2TeAsSe2
1.0
5.9265 -3.8161 0.0000
5.9265 3.8161 0.0000
0.0000 0.0000 6.5620
Cu Te As Se
4 2 2 4
direct
0.0309 0.3325 0.0000
0.3325 0.0309 0.5000
0.6675 0.9691 0.0000
0.9691 0.6675 0.5000
0.2900 0.7100 0.3582
0.7100 0.2900 0.8582
0.3012 0.6988 0.9539
0.6988 0.3012 0.4539
0.0348 0.3250 0.3656
0.3250 0.0348 0.8656
0.6750 0.9652 0.3656
0.9652 0.6750 0.8656
```



[2]
# YZnCl2

A relaxed YZnCl2 crystal (PBE, Alexandria via LeMat-Bulk).

Properties
Calculated volume ... 38.2 Å³/atom
Magnetic moment ... 0.00 μB per formula unit
Space-group type ... P2/m, No. 10
Relative energy among the computed polymorphs ... 0.003 eV/atom
Energy relative to the elements, uncorrected ... -1.212 eV per atom

The structure in POSCAR format:
```
YZnCl2
1.0
6.2188 0.0000 0.0000
0.0000 3.9247 0.0000
-3.0904 0.0000 6.2534
Y Zn Cl
1 1 2
direct
0.0000 0.0000 0.0000
0.5000 0.0000 0.0000
0.1425 0.5000 0.2874
0.8575 0.5000 0.7126
```



[3]
# NdSm2Co

A relaxed NdSm2Co crystal (PBE, Alexandria via LeMat-Bulk).

Properties
Calculated volume ... 30.9 Å³/atom
Magnetic moment ... 0.15 μB per formula unit
ΔH_f (0 K) ... 0.175 eV per atom
Space-group type ... R-3m, No. 166
Relative energy among the computed polymorphs ... 0.261 eV/atom

The structure in POSCAR format:
```
NdSm2Co
1.0
1.8453 1.0654 10.4726
-1.8453 1.0654 10.4726
0.0000 -2.1308 10.4726
Nd Sm Co
1 2 1
direct
0.0000 0.0000 0.0000
0.1145 0.1145 0.1145
0.8855 0.8855 0.8855
0.5000 0.5000 0.5000
```



Number 1: ρ 5.455 g/cm3. Number 2: ρ 2.450 g/cm3. Number 3: ρ 6.773 g/cm3.